Ta2NbW3: relaxed, PBE.

Lattice parameters (Å, degrees): 6.4319 5.7560 5.7560 90.75 85.48 85.48
Positions (direct):
W1 0.5091 0.3398 0.1780
W2 0.0091 0.1780 0.3398
W3 0.2500 0.4302 0.5698
W4 0.4909 0.6602 0.8220
W5 0.9909 0.8220 0.6602
W6 0.7500 0.5698 0.4302
Nb1 0.7500 0.9117 0.0883
Nb2 0.2500 0.0883 0.9117
Ta1 0.6280 0.1214 0.6244
Ta2 0.3720 0.8786 0.3756
Ta3 0.8720 0.3756 0.8786
Ta4 0.1280 0.6244 0.1214

Fermi-level density of states: 0.936 states/eV per atom
energy relative to the lowest polymorph listed for this composition: 8.96 kcal/mol of atoms



Ta2Nb5W: relaxed, PBE.

Lattice parameters (Å, degrees): 4.6968 5.6091 10.9755 90.00 90.00 90.00
Positions (direct):
Nb1 0.5000 0.8420 0.1258
Nb2 0.0000 0.8501 0.7477
Nb3 0.0000 0.0000 0.0000
Nb4 0.5000 0.6580 0.6258
Nb5 0.0000 0.6499 0.2477
Nb6 0.0000 0.1499 0.2523
Nb7 0.5000 0.1580 0.8742
Nb8 0.0000 0.3501 0.7523
Nb9 0.5000 0.3420 0.3742
Nb10 0.0000 0.5000 0.5000
Ta1 0.5000 0.6561 0.8858
Ta2 0.5000 0.1561 0.6142
Ta3 0.5000 0.8439 0.3858
Ta4 0.5000 0.3439 0.1142
W1 0.0000 0.0000 0.5000
W2 0.0000 0.5000 0.0000

Fermi-level density of states: 1.027 states/eV per atom
energy relative to the lowest polymorph listed for this composition: 1.21 kcal/mol of atoms



Ta3Nb3W: relaxed, PBE.

Lattice parameters (Å, degrees): 5.2631 5.2631 5.2631 102.12 102.12 102.12
Positions (direct):
Ta1 0.1904 0.5373 0.5373
Ta2 0.5373 0.5373 0.1904
Ta3 0.5373 0.1904 0.5373
Nb1 0.5405 0.9572 0.9572
Nb2 0.9572 0.9572 0.5405
Nb3 0.9572 0.5405 0.9572
W1 0.0796 0.0796 0.0796

Fermi-level density of states: 1.246 states/eV per atom
energy relative to the lowest polymorph listed for this composition: 5.30 kcal/mol of atoms



Ta2Nb7W2: relaxed, PBE.

Lattice parameters (Å, degrees): 5.4112 5.4112 7.8457 90.09 90.09 116.22
Positions (direct):
Nb1 0.6686 0.6686 0.3221
Nb2 0.1164 0.5794 0.1648
Nb3 0.3314 0.3314 0.6779
Nb4 0.4206 0.8836 0.8352
Nb5 0.0000 0.0000 0.0000
Nb6 0.5794 0.1164 0.1648
Nb7 0.8836 0.4206 0.8352
W1 0.1633 0.1633 0.3354
W2 0.8367 0.8367 0.6646
Ta1 0.7554 0.2446 0.5000
Ta2 0.2446 0.7554 0.5000

Fermi-level density of states: 1.114 states/eV per atom
energy relative to the lowest polymorph listed for this composition: 0.00 kcal/mol of atoms



Ta4Nb3W: relaxed, PBE.

Lattice parameters (Å, degrees): 6.5864 6.6063 6.5834 90.00 90.00 90.00
Positions (direct):
Nb1 0.5644 0.2532 0.2500
Nb2 0.3144 0.0000 0.5000
Nb3 0.5644 0.2532 0.7500
Nb4 0.0644 0.7468 0.2500
Nb5 0.8144 0.0000 0.0000
Nb6 0.0644 0.7468 0.7500
Ta1 0.0644 0.2548 0.2500
Ta2 0.8144 0.5001 0.5000
Ta3 0.8144 0.0000 0.5000
Ta4 0.5644 0.7452 0.2500
Ta5 0.3144 0.0000 0.0000
Ta6 0.5644 0.7452 0.7500
Ta7 0.3144 0.4999 0.0000
Ta8 0.0644 0.2548 0.7500
W1 0.8144 0.5000 0.0000
W2 0.3144 0.5000 0.5000

Fermi-level density of states: 1.349 states/eV per atom
energy relative to the lowest polymorph listed for this composition: 0.28 kcal/mol of atoms



TaNb6W5: relaxed, PBE.

Lattice parameters (Å, degrees): 4.6214 7.9406 7.9406 119.54 106.92 106.92
Positions (direct):
W1 0.5000 0.8343 0.1657
W2 0.5000 0.1657 0.8343
W3 0.0000 0.3329 0.6671
W4 0.5000 0.5000 0.5000
W5 0.0000 0.6671 0.3329
Nb1 0.2460 0.7460 0.7460
Nb2 0.7480 0.9163 0.5797
Nb3 0.7480 0.5797 0.9163
Nb4 0.7540 0.2540 0.2540
Nb5 0.2520 0.4203 0.0837
Nb6 0.2520 0.0837 0.4203
Ta1 0.0000 0.0000 0.0000

Fermi-level density of states: 1.079 states/eV per atom



TaNbW: relaxed, PBE.

Lattice parameters (Å, degrees): 2.8347 4.6148 4.6148 120.00 90.00 90.00
Positions (direct):
Nb1 0.0110 0.0000 0.0000
Ta1 0.6626 0.3333 0.6667
W1 0.3265 0.6667 0.3333

Fermi-level density of states: 1.109 states/eV per atom
energy relative to the lowest polymorph listed for this composition: 0.23 kcal/mol of atoms



Ta5Nb2W: relaxed, PBE.

Lattice parameters (Å, degrees): 4.7130 5.6193 10.8971 90.00 90.00 90.00
Positions (direct):
Nb1 0.5000 0.6577 0.8804
Nb2 0.5000 0.3423 0.1196
Nb3 0.5000 0.8423 0.3804
Nb4 0.5000 0.1577 0.6196
Ta1 0.0000 0.3488 0.7537
Ta2 0.0000 0.6512 0.2463
Ta3 0.0000 0.0000 0.0000
Ta4 0.5000 0.8432 0.1213
Ta5 0.0000 0.8488 0.7463
Ta6 0.0000 0.5000 0.5000
Ta7 0.5000 0.3432 0.3787
Ta8 0.5000 0.1568 0.8787
Ta9 0.5000 0.6568 0.6213
Ta10 0.0000 0.1512 0.2537
W1 0.0000 0.5000 0.0000
W2 0.0000 0.0000 0.5000

Fermi-level density of states: 0.983 states/eV per atom
energy relative to the lowest polymorph listed for this composition: 0.47 kcal/mol of atoms



How do the records compare in size of the total moment? In the order shown, they have 0.000, 0.000, 0.000, 0.000, 0.000, 0.000, 0.000, 0.000 μB/atom.
How do the records compare in energy relative to the elements? In the order shown, they have 300.7, 26.5, 574.9, 196.4, -22.4, -39.5, -52.1, 40.9 meV per atom.
How do the records compare in VASP energy? In the order shown, they have -11.8050, -10.8494, -10.6709, -10.7217, -11.3440, -11.4593, -11.6773, -11.5036 eV/atom.